# 1
Material: Ba2TaFe
Method: DFT, SCAN
State: single point on PBEsol structure

abc: 5.398 5.398 5.398
angles: 60.00 60.00 60.00
Fractional positions:
Ba  0.250  0.250  0.250
Ba  0.750  0.750  0.750
Ta  0.000  0.000  0.000
Fe  0.500  0.500  0.500

Crystal system = cubic
Total moment = 6.235 μB per formula unit
Energy of formation = 1.427 eV/atom

---

# 2
Material: Ba2TaFe
Method: DFT, SCAN
State: single point on PBEsol structure

abc: 10.954 10.954 10.954
angles: 17.49 17.49 17.49
Fractional positions:
Ba  0.246  0.246  0.246
Ba  0.754  0.754  0.754
Ta  0.000  0.000  0.000
Fe  0.500  0.500  0.500

Crystal system = trigonal
Total moment = 3.119 μB per formula unit
Energy of formation = 1.390 eV/atom

---

# 3
Material: BaTa2Fe
Method: DFT, SCAN
State: single point on PBEsol structure

abc: 2.991 3.469 8.103
angles: 90.00 93.98 90.00
Fractional positions:
Ba  0.000  0.000  0.000
Ta  0.431  0.500  0.657
Ta  0.569  0.500  0.343
Fe  0.000  0.000  0.500

Crystal system = monoclinic
Total moment = 0.001 μB per formula unit
Energy of formation = 0.745 eV/atom

---

# 4
Material: Ba2TaFe
Method: DFT, SCAN
State: single point on PBEsol structure

abc: 5.983 5.983 3.203
angles: 90.00 90.00 114.16
Fractional positions:
Ba  0.000  0.500  0.000
Ba  0.500  0.000  0.000
Ta  0.000  0.000  0.500
Fe  0.500  0.500  0.500

Crystal system = orthorhombic
Total moment = 2.951 μB per formula unit
Energy of formation = 1.351 eV/atom

---

# 5
Material: BaTa3Fe
Method: DFT, SCAN
State: single point on PBEsol structure

abc: 4.733 4.733 4.733
angles: 90.00 90.00 90.00
Fractional positions:
Ba  0.000  0.000  0.000
Ta  0.000  0.500  0.500
Ta  0.500  0.000  0.500
Ta  0.500  0.500  0.000
Fe  0.500  0.500  0.500

Crystal system = cubic
Total moment = 0.000 μB per formula unit
Energy of formation = 1.075 eV/atom

---

# 6
Material: BaTaZnFe2
Method: DFT, SCAN
State: single point on PBEsol structure

abc: 4.659 4.659 5.228
angles: 90.00 90.00 90.00
Fractional positions:
Ba  0.000  0.000  0.000
Ta  0.500  0.500  0.500
Zn  0.500  0.500  0.000
Fe  0.000  0.500  0.500
Fe  0.500  0.000  0.500

Crystal system = tetragonal
Total moment = 4.141 μB per formula unit
Energy of formation = 0.798 eV/atom